Record 1
## ReSeSBr2 (PBE)

Data for a relaxed ReSeSBr2 crystal.

Cell: 5.036 5.036 4.802 Å, 90.00 90.00 90.00°
Fractional positions:
Re1 0.000 0.000 0.000
Se1 0.000 0.000 0.500
S1 0.500 0.500 0.500
Br1 0.000 0.500 0.000
Br2 0.500 0.000 0.000

Properties
As for the space group: P4/mmm (123). The relative energy among the computed polymorphs is 0 kJ/mol of formula units. The value obtained for the total magnetization is 0.004 μB per atom. For the formation energy without anion corrections, the calculation gives 0.7677 eV per atom.



Record 2
## CePm2Al (PBE)

Data for a relaxed CePm2Al crystal.

Cell: 5.416 5.416 5.416 Å, 60.00 60.00 60.00°
Fractional positions:
Ce1 0.000 0.000 0.000
Pm1 0.500 0.500 0.500
Pm2 0.750 0.750 0.750
Al1 0.250 0.250 0.250

Properties
As for the space group: F-43m (216). The relative energy among the computed polymorphs is 55 kJ/mol of formula units. The value obtained for the total magnetization is 0.016 μB per atom. The formation energy comes out at 0.002 eV/atom.



Record 3
## MgZrGa (PBE)

Data for a relaxed MgZrGa crystal.

Cell: 7.920 7.920 7.920 Å, 150.72 150.72 41.89°
Fractional positions:
Mg1 0.000 0.500 0.500
Mg2 0.500 0.000 0.500
Zr1 0.173 0.173 0.000
Zr2 0.827 0.827 0.000
Ga1 0.360 0.360 0.000
Ga2 0.640 0.640 0.000

Properties
As for the space group: I4/mmm (139). The value obtained for the total magnetization is 0.000 μB per atom. The formation energy comes out at -0.375 eV/atom.